VASP calculation (PBE) on a geometry-optimized CsHRuSe structure.

* offset from the most stable computed form: 0.0 meV/atom
* final energy: -4.368 eV per atom
* N(E_F): 2.91 states/eV per cell

abc: 4.126 4.129 6.408
angles: 89.91 89.96 60.06
Positions (direct):
Cs1 0.055 0.354 0.943
H1 0.389 0.687 0.167
Ru1 0.389 0.689 0.421
Se1 0.722 0.022 0.488

=====

VASP calculation (PBE) on a geometry-optimized LaCl structure.

* uncorrected formation energy: -1432 meV/atom
* final energy: -4.819 eV per atom
* N(E_F): 2.92 states/eV per cell

abc: 6.113 6.113 4.631
angles: 90.00 90.00 145.09
Positions (direct):
Cl1 0.602 0.398 0.750
Cl2 0.398 0.602 0.250
La1 0.857 0.143 0.750
La2 0.143 0.857 0.250

=====

VASP calculation (PBE) on a geometry-optimized Rb2UTeS2 structure.

* uncorrected formation energy: -1082 meV/atom
* final energy: -5.185 eV per atom
* N(E_F): 5.89 states/eV per cell

abc: 5.375 5.375 6.786
angles: 90.00 90.00 90.00
Positions (direct):
Rb1 0.500 0.500 0.728
Rb2 0.500 0.500 0.272
U1 0.000 0.000 0.000
Te1 0.000 0.000 0.500
S1 0.500 0.000 0.000
S2 0.000 0.500 0.000

=====

VASP calculation (PBE) on a geometry-optimized Pa2TcAu structure.

* offset from the most stable computed form: 0.0 meV/atom
* final energy: -8.406 eV per atom
* formation energy: -95.4 kJ/mol of formula units
* N(E_F): 7.42 states/eV per cell

abc: 3.216 3.216 8.302
angles: 90.00 90.00 90.00
Positions (direct):
Pa1 0.000 0.000 0.777
Pa2 0.000 0.000 0.223
Au1 0.500 0.500 0.500
Tc1 0.500 0.500 0.000

=====

VASP calculation (PBE) on a geometry-optimized Cs2BaGaSb2 structure.

* uncorrected formation energy: -479 meV/atom
* final energy: -2.963 eV per atom
* N(E_F): 7.64 states/eV per cell

abc: 8.025 7.852 10.314
angles: 112.37 112.90 90.00
Positions (direct):
Cs1 0.461 0.179 0.357
Cs2 0.539 0.821 0.643
Cs3 0.104 0.321 0.643
Cs4 0.896 0.679 0.357
Ba1 0.000 0.750 0.000
Ba2 0.000 0.250 0.000
Ga1 0.500 0.750 0.000
Ga2 0.500 0.250 0.000
Sb1 0.798 0.091 0.182
Sb2 0.384 0.591 0.182
Sb3 0.616 0.409 0.818
Sb4 0.202 0.909 0.818

=====

VASP calculation (PBE) on a geometry-optimized LiSNCl2 structure.

* uncorrected formation energy: 323 meV/atom
* offset from the most stable computed form: 0.0 meV/atom
* final energy: -3.289 eV per atom
* N(E_F): 3.95 states/eV per cell

abc: 5.480 5.480 3.394
angles: 90.00 90.00 90.00
Positions (direct):
S1 0.000 0.000 0.500
N1 0.000 0.000 0.000
Li1 0.500 0.500 0.500
Cl1 0.000 0.500 0.000
Cl2 0.500 0.000 0.000

=====

VASP calculation (PBE) on a geometry-optimized KRh3F structure.

* uncorrected formation energy: 805 meV/atom
* offset from the most stable computed form: 0.0 meV/atom
* final energy: -4.199 eV per atom
* N(E_F): 7.02 states/eV per cell

abc: 4.536 4.536 4.536
angles: 90.00 90.00 90.00
Positions (direct):
K1 0.500 0.500 0.500
Rh1 0.000 0.500 0.000
Rh2 0.000 0.000 0.500
Rh3 0.500 0.000 0.000
F1 0.000 0.000 0.000

=====

VASP calculation (PBE) on a geometry-optimized SiTe2As structure.

* uncorrected formation energy: 609 meV/atom
* offset from the most stable computed form: 477.0 meV/atom
* final energy: -3.480 eV per atom
* N(E_F): 2.77 states/eV per cell

abc: 11.569 11.569 11.569
angles: 15.56 15.56 15.56
Positions (direct):
As1 0.500 0.500 0.500
Te1 0.918 0.918 0.918
Te2 0.082 0.082 0.082
Si1 0.000 0.000 0.000

=====

Number 1: M_tot 0.000 μB/atom. Number 2: M_tot 0.000 μB/atom. Number 3: M_tot 0.333 μB/atom. Number 4: M_tot 0.000 μB/atom. Number 5: M_tot 0.000 μB/atom. Number 6: M_tot 0.000 μB/atom. Number 7: M_tot 0.818 μB/atom. Number 8: M_tot 0.000 μB/atom.